! PBE-GGA RePdSe2, optimized geometry; values from VASP
&SYSTEM
  ibrav = 0, nat = 4, ntyp = 3
/
ATOMIC_SPECIES
Re 186.21 Re.upf
Se 78.96 Se.upf
Pd 106.42 Pd.upf
ATOMIC_POSITIONS angstrom
Re 0.0000 0.0000 12.6204
Se 0.0000 0.0000 22.8020
Se 0.0000 0.0000 2.4388
Pd 0.0000 0.0000 0.0000
CELL_PARAMETERS angstrom
1.8390 0.0000 8.4136
-0.9195 1.5926 8.4136
-0.9195 -1.5926 8.4136
! - formation energy without anion corrections (eV/atom) = 0.074
! - space-group type = R-3m (166)
! - DFT total energy (eV/atom) = -6.079
! - calculated volume (Å³/cell) = 74
! - crystal system = trigonal
! - size of the total moment (μB/cell) = 0.000
! - ΔE to the lowest computed polymorph (meV/atom) = 0.0